Material: CsHfGa
Method: DFT, PBE-GGA
State: optimized geometry

**Distance to the lowest polymorph of the same formula**: 0.139 eV per atom
**Density of states at the Fermi level**: 5.6 states/eV per cell
**Calculated formation energy**: 0.2891 eV/atom

a b c (Å): 3.4783 6.0443 9.8086
angles (deg): 88.88 89.80 73.31
Last column: nearest neighbours and their distance in Å.
Fractional coordinates of all 6 atoms:
Cs 0.0000 0.0000 0.0000  3 Cs 3.48-3.88, 3 Ga 3.48-3.49
Cs 0.2448 0.4976 0.7435  3 Cs 3.48-3.88, 2 Ga 3.71-3.72
Hf 0.3251 0.3366 0.3464  4 Ga 2.83-2.86, 2 Hf 3.10
Hf 0.6085 0.7698 0.3985  3 Ga 2.79, 2 Hf 3.10
Ga 0.7255 0.5399 0.1512  3 Hf 2.79-2.83
Ga 0.9531 0.0785 0.5233  4 Hf 2.79-2.86